Entry 1:
Here is a relaxed structure of LaWAu2 from the Alexandria database. Energies are from GGA-PBE.

Properties
The formation energy is 0.227 eV per atom. The relative energy among the computed polymorphs is 93 meV/atom.

Unit cell a=4.4615 b=4.4615 c=4.1874 alpha=90.00 beta=90.00 gamma=90.00
With the nearest neighbours (Å) after each atom.
Fractional coordinates of all 4 atoms:
1 La 0.0000 0.0000 0.0000  8 Au 3.06, 4 W 3.15
2 W 0.5000 0.5000 0.0000  8 Au 3.06, 4 La 3.15
3 Au 0.0000 0.5000 0.5000  4 La 3.06, 4 W 3.06, 4 Au 3.15
4 Au 0.5000 0.0000 0.5000  4 La 3.06, 4 W 3.06, 4 Au 3.15


Entry 2:
Here is a relaxed structure of Er3Fe3Bi from the Alexandria database. Energies are from GGA-PBE.

Properties
The formation energy is -0.219 eV per atom.

Unit cell a=9.2331 b=9.2331 c=4.1923 alpha=90.00 beta=90.00 gamma=120.00
With the nearest neighbours (Å) after each atom.
Fractional coordinates of all 14 atoms:
1 Er 0.0761 0.6843 0.2500  4 Fe 2.80-2.98
2 Er 0.3157 0.3918 0.2500  4 Fe 2.80-2.98
3 Er 0.3918 0.0761 0.7500  4 Fe 2.80-2.98
4 Er 0.6082 0.9239 0.2500  4 Fe 2.80-2.98
5 Er 0.6843 0.6082 0.7500  4 Fe 2.80-2.98
6 Er 0.9239 0.3157 0.7500  4 Fe 2.80-2.98
7 Fe 0.0202 0.8623 0.7500  6 Fe 2.38-2.51
8 Fe 0.1377 0.1579 0.7500  6 Fe 2.38-2.51
9 Fe 0.1579 0.0202 0.2500  6 Fe 2.38-2.51
10 Fe 0.8421 0.9798 0.7500  6 Fe 2.38-2.51
11 Fe 0.8623 0.8421 0.2500  6 Fe 2.38-2.51
12 Fe 0.9798 0.1377 0.2500  6 Fe 2.38-2.51
13 Bi 0.3333 0.6667 0.7500  9 Er 3.23-3.54
14 Bi 0.6667 0.3333 0.2500  9 Er 3.23-3.54


Entry 3:
Here is a relaxed structure of Li3Dy from the Alexandria database. Energies are from GGA-PBE.

Properties
The formation energy is 0.203 eV per atom. The relative energy among the computed polymorphs is 157 meV/atom.

Unit cell a=5.6533 b=5.6533 c=5.6533 alpha=134.03 beta=134.03 gamma=67.03
With the nearest neighbours (Å) after each atom.
Fractional coordinates of all 4 atoms:
1 Li 0.0000 0.0000 0.0000  4 Dy 3.12, 8 Li 3.23
2 Li 0.2500 0.7500 0.5000  8 Li 3.12-3.23, 4 Dy 3.23
3 Li 0.7500 0.2500 0.5000  8 Li 3.12-3.23, 4 Dy 3.23
4 Dy 0.5000 0.5000 0.0000  12 Li 3.12-3.23


Entry 4:
Here is a relaxed structure of Pm6P2Se3N from the Alexandria database. Energies are from GGA-PBE.

Properties
As for the raw formation energy: -1.702 eV/atom.

Unit cell a=6.9932 b=6.9932 c=7.2204 alpha=99.34 beta=99.34 gamma=119.87
With the nearest neighbours (Å) after each atom.
Fractional coordinates of all 12 atoms:
1 Pm 0.0725 0.3845 0.2175  1 N 2.64, 2 P 2.84
2 Pm 0.2388 0.2388 0.7784  1 N 2.66, 2 P 2.84
3 Pm 0.3845 0.0725 0.2175  1 N 2.64, 2 P 2.84
4 Pm 0.6155 0.9275 0.7825  1 N 2.64, 2 P 2.84
5 Pm 0.7612 0.7612 0.2216  1 N 2.66, 2 P 2.84
6 Pm 0.9275 0.6155 0.7825  1 N 2.64, 2 P 2.84
7 P 0.3339 0.6661 0.0000  6 Pm 2.84
8 P 0.6661 0.3339 0.0000  6 Pm 2.84
9 Se 0.1725 0.8275 0.5000  6 Pm 2.98-3.09
10 Se 0.5000 0.5000 0.5000  6 Pm 2.97-3.13
11 Se 0.8275 0.1725 0.5000  6 Pm 2.98-3.09
12 N 0.0000 0.0000 0.0000  6 Pm 2.64-2.66


no.,total DFT energy (no corrections) (eV for the cell shown),magnetic moment (μB/f.u.),ρ (g cm⁻³)
1,-23.5,0.04,14.3
2,-89.0,5.53,9.4
3,-9.5,0.00,3.3
4,-78.5,0.00,6.8